ZrMnBRh2 | PBE | relaxed Values from VASP.

## Properties
The calculated formation energy is -2.55 eV per formula unit. Its space group is P4/mmm, No. 123. For the total magnetic moment, the calculation gives 2.0 μB per cell.

Geometry as Quantum ESPRESSO input:
```
&SYSTEM
  ibrav = 0, nat = 5, ntyp = 4
/
ATOMIC_SPECIES
B 10.81 B.upf
Mn 54.94 Mn.upf
Rh 102.91 Rh.upf
Zr 91.22 Zr.upf
CELL_PARAMETERS angstrom
-3.189 0.175 -2.598
-2.602 -0.071 3.190
0.090 4.074 0.164
ATOMIC_POSITIONS angstrom
B 0.000 0.000 0.000
Mn 0.045 2.037 0.082
Rh -1.301 -0.035 1.595
Rh -1.595 0.087 -1.299
Zr -2.851 2.089 0.378
```



Ac4CePb5 | PBE | relaxed Values from VASP.

## Properties
The calculated formation energy is -4.63 eV per formula unit. Its space group is P4/mmm, No. 123. For the total magnetic moment, the calculation gives 1.3 μB per cell.

Geometry as Quantum ESPRESSO input:
```
&SYSTEM
  ibrav = 0, nat = 10, ntyp = 3
/
ATOMIC_SPECIES
Ac 227.00 Ac.upf
Ce 140.12 Ce.upf
Pb 207.20 Pb.upf
CELL_PARAMETERS angstrom
3.831 0.000 0.000
0.000 3.831 0.000
0.000 0.000 23.458
ATOMIC_POSITIONS angstrom
Ac 0.000 0.000 4.553
Ac 0.000 0.000 9.332
Ac 0.000 0.000 14.127
Ac 0.000 0.000 18.906
Ce 0.000 0.000 0.000
Pb 1.915 1.915 2.169
Pb 1.915 1.915 6.942
Pb 1.915 1.915 11.729
Pb 1.915 1.915 16.516
Pb 1.915 1.915 21.289
```



HPd3Pt | PBE | relaxed Values from VASP.

## Properties
Its energy above the most stable polymorph in this dataset is 0.2594 eV per atom. Its space group is P6_3/mmc, No. 194. For the total magnetic moment, the calculation gives 0.0 μB per cell.

Geometry as Quantum ESPRESSO input:
```
&SYSTEM
  ibrav = 0, nat = 10, ntyp = 3
/
ATOMIC_SPECIES
H 1.01 H.upf
Pd 106.42 Pd.upf
Pt 195.08 Pt.upf
CELL_PARAMETERS angstrom
-1.446 3.635 2.186
1.968 -3.335 2.255
6.984 3.410 -1.051
ATOMIC_POSITIONS angstrom
H 0.000 0.000 0.000
H 3.492 1.705 -0.525
Pd 1.746 0.853 -0.263
Pd 5.238 2.558 -0.788
Pd 1.400 -0.733 2.146
Pd 3.751 0.415 1.792
Pd 3.755 3.295 1.598
Pd 6.106 4.443 1.244
Pt 6.068 1.546 1.444
Pt 1.438 2.164 1.946
```



K2SrLa | PBE | relaxed Values from VASP.

## Properties
The calculated formation energy is 2.54 eV per formula unit. Its energy above the most stable polymorph in this dataset is 0.4411 eV per atom. Its space group is I-42d, No. 122. For the total magnetic moment, the calculation gives 0.5 μB per cell.

Geometry as Quantum ESPRESSO input:
```
&SYSTEM
  ibrav = 0, nat = 8, ntyp = 3
/
ATOMIC_SPECIES
Sr 87.62 Sr.upf
K 39.10 K.upf
La 138.91 La.upf
CELL_PARAMETERS angstrom
-4.932 -7.978 -3.414
8.268 -3.128 -4.635
2.696 -7.550 -0.843
ATOMIC_POSITIONS angstrom
Sr 1.668 -5.553 -4.025
Sr 6.316 -8.115 -4.751
K -1.385 -7.281 -2.931
K 5.236 -4.823 -3.527
K 3.256 -9.821 -3.641
K 4.959 -15.386 -7.685
La 0.000 0.000 0.000
La -0.284 -10.540 -4.141
```



AlPt2Br | PBE | relaxed Values from VASP.

## Properties
The energy relative to the elements, uncorrected comes out at -0.08 eV/atom. Its energy above the most stable polymorph in this dataset is 0.3580 eV per atom. Its space group is Pmm2, No. 25. For the total magnetic moment, the calculation gives 0.0 μB per cell.

Geometry as Quantum ESPRESSO input:
```
&SYSTEM
  ibrav = 0, nat = 4, ntyp = 3
/
ATOMIC_SPECIES
Br 79.90 Br.upf
Pt 195.08 Pt.upf
Al 26.98 Al.upf
CELL_PARAMETERS angstrom
3.786 0.000 0.000
0.000 2.862 0.000
0.000 0.000 7.343
ATOMIC_POSITIONS angstrom
Br 1.893 1.431 5.792
Pt 0.000 0.000 0.339
Pt 1.893 1.431 2.032
Al 0.000 0.000 2.852
```



Tl2VB | PBE | relaxed Values from VASP.

## Properties
The calculated formation energy is 5.25 eV per formula unit. Its energy above the most stable polymorph in this dataset is 0.4311 eV per atom. Its space group is Fm-3m, No. 225. For the total magnetic moment, the calculation gives 3.4 μB per cell.

Geometry as Quantum ESPRESSO input:
```
&SYSTEM
  ibrav = 0, nat = 4, ntyp = 3
/
ATOMIC_SPECIES
Tl 204.38 Tl.upf
B 10.81 B.upf
V 50.94 V.upf
CELL_PARAMETERS angstrom
0.000 3.419 3.419
3.419 0.000 3.419
3.419 3.419 0.000
ATOMIC_POSITIONS angstrom
Tl 1.710 1.710 1.710
Tl 5.129 5.129 5.129
B 0.000 0.000 0.000
V 3.419 3.419 3.419
```